1.
# SrLiFeC (PBE, optimized geometry)
data_SrLiFeC
_space_group_name_H-M_alt 'P 4/n m m'
_space_group_IT_number 129
_cell_length_a 3.5663
_cell_length_b 3.5663
_cell_length_c 11.2714
_cell_angle_alpha 90.00
_cell_angle_beta 90.00
_cell_angle_gamma 90.00
loop_
_space_group_symop_operation_xyz
'x,y,z'
'-x,-y,-z'
'-y+1/2,x,z'
'y+1/2,-x,-z'
'-x+1/2,-y+1/2,z'
'x+1/2,y+1/2,-z'
'y,-x+1/2,z'
'-y,x+1/2,-z'
'x+1/2,-y,-z'
'-x+1/2,y,z'
'-y,-x,-z'
'y,x,z'
'-x,y+1/2,-z'
'x,-y+1/2,z'
'y+1/2,x+1/2,-z'
'-y+1/2,-x+1/2,z'
loop_
_atom_site_label
_atom_site_fract_x
_atom_site_fract_y
_atom_site_fract_z
_atom_site_occupancy
Sr1 0.2500 0.2500 0.2234 1
Li1 0.2500 0.7500 0.5000 1
Fe1 0.2500 0.7500 0.0000 1
C1 0.2500 0.2500 0.9315 1
# volume: 143.4 Å³/cell
# ΔE_f: 0.033 eV/atom
# Fermi-level density of states: 3.9 states/eV per cell

---

2.
# NdSm7Er4 (PBE, optimized geometry)
data_NdSm7Er4
_space_group_name_H-M_alt 'P -1'
_space_group_IT_number 2
_cell_length_a 6.2690
_cell_length_b 7.2420
_cell_length_c 8.9235
_cell_angle_alpha 90.00
_cell_angle_beta 103.57
_cell_angle_gamma 90.00
loop_
_space_group_symop_operation_xyz
'x,y,z'
'-x,-y,-z'
loop_
_atom_site_label
_atom_site_fract_x
_atom_site_fract_y
_atom_site_fract_z
_atom_site_occupancy
Nd1 0.0000 0.0000 0.0000 1
Sm1 0.0000 0.5000 0.0000 1
Sm2 0.2230 0.0002 0.6651 1
Sm3 0.2798 0.7482 0.3360 1
Sm4 0.4996 0.2532 0.0014 1
Er1 0.2196 0.5000 0.6646 1
Er2 0.2778 0.2535 0.3347 1
# volume: 393.8 Å³/cell
# energy above the lowest structure with this stoichiometry: 0 meV/atom
# ΔE_f: 0.000 eV/atom
# Fermi-level density of states: 15.2 states/eV per cell

---

3.
# Cs5Hg2Au2 (PBE, optimized geometry)
data_Cs5Hg2Au2
_space_group_name_H-M_alt 'I m a 2'
_space_group_IT_number 46
_cell_length_a 21.3063
_cell_length_b 10.0861
_cell_length_c 8.9718
_cell_angle_alpha 90.00
_cell_angle_beta 90.00
_cell_angle_gamma 90.00
loop_
_space_group_symop_operation_xyz
'x,y,z'
'-x,-y,z'
'-x+1/2,y,z'
'x+1/2,-y,z'
'x+1/2,y+1/2,z+1/2'
'-x+1/2,-y+1/2,z+1/2'
'-x,y+1/2,z+1/2'
'x,-y+1/2,z+1/2'
loop_
_atom_site_label
_atom_site_fract_x
_atom_site_fract_y
_atom_site_fract_z
_atom_site_occupancy
Cs1 0.0684 0.1737 0.0000 1
Cs2 0.1423 0.7174 0.8572 1
Cs3 0.2500 0.0980 0.6525 1
Hg1 0.0000 0.0000 0.3627 1
Hg2 0.2500 0.0005 0.0856 1
Au1 0.0681 0.5186 0.1499 1
# volume: 1928.0 Å³/cell
# ΔE_f: -0.214 eV/atom
# Fermi-level density of states: 29.4 states/eV per cell